Material: Rb2TcBSe
Method: DFT, PBEsol
State: relaxed

Lattice parameters (Å, degrees): 6.4022 6.4022 4.6069 90.00 90.00 90.00
With the nearest neighbours (Å) after each atom.
Space group P4/mmm (No. 123)
Unique sites:
Rb 0.0000 0.5000 0.0000  2 Se 3.20
Tc 0.0000 0.0000 0.5000  2 Se 2.30
B 0.5000 0.5000 0.5000  8 Rb 3.94
Se 0.0000 0.0000 0.0000  2 Tc 2.30

Size of the total moment = 0.11 μB per atom
ΔE_f (raw) = 1.291 eV/atom
Energy = -3.55 eV per atom
Fermi-level density of states = 3.58 states/eV/f.u.

Material: Rb3TaB
Method: DFT, PBEsol
State: relaxed

Lattice parameters (Å, degrees): 6.7510 6.7510 6.7510 90.00 90.00 90.00
With the nearest neighbours (Å) after each atom.
Space group Pm-3m (No. 221)
Unique sites:
Rb 0.0000 0.0000 0.5000  2 Ta 3.38
Ta 0.0000 0.0000 0.0000  6 Rb 3.38
B 0.5000 0.5000 0.5000  12 Rb 4.77

Size of the total moment = 1.40 μB per atom
ΔE_f = 2.3947 eV/atom
Energy = -2.13 eV per atom
Fermi-level density of states = 6.72 states/eV/f.u.

Material: RbTa3B
Method: DFT, PBEsol
State: relaxed

Lattice parameters (Å, degrees): 4.6710 4.6710 4.6710 90.00 90.00 90.00
With the nearest neighbours (Å) after each atom.
Space group Pm-3m (No. 221)
Unique sites:
Rb 0.0000 0.0000 0.0000  6 Ta 2.34
Ta 0.0000 0.0000 0.5000  2 Rb 2.34
B 0.5000 0.5000 0.5000  12 Ta 3.30

Size of the total moment = 0.00 μB per atom
ΔE_f = 3.9477 eV/atom
Energy = -5.19 eV per atom
Fermi-level density of states = 2.90 states/eV/f.u.